Entry 1:
# LiPu2I4, optimized geometry, DFT PBE-GGA
# Volume = 247.58 Å³ per cell
# Uncorrected formation energy = -0.626 eV/atom
# Total moment = 0.672 μB/atom
data_LiPu2I4
_chemical_formula_sum 'Li1 Pu2 I4'
_cell_length_a 3.764
_cell_length_b 8.429
_cell_length_c 8.326
_cell_angle_alpha 105.40
_cell_angle_beta 103.07
_cell_angle_gamma 90.00
_space_group_name_H-M_alt 'P 1'
_space_group_IT_number 1
loop_
_space_group_symop_operation_xyz
'x,y,z'
loop_
_atom_site_label
_atom_site_type_symbol
_atom_site_fract_x
_atom_site_fract_y
_atom_site_fract_z
I1 I 0.894 0.263 0.788
I2 I 0.106 0.737 0.212
I3 I 0.619 0.226 0.238
I4 I 0.381 0.774 0.762
Pu1 Pu 0.234 0.077 0.469
Pu2 Pu 0.766 0.923 0.531
Li1 Li 0.000 0.000 0.000

***

Entry 2:
# Dy2CdNi12P3, optimized geometry, DFT PBE-GGA
# Volume = 248.23 Å³ per cell
# ΔE_f = -0.122 eV per atom
# Total moment = 0.000 μB/atom
data_Dy2CdNi12P3
_chemical_formula_sum 'Dy2 Cd1 Ni12 P3'
_cell_length_a 6.302
_cell_length_b 6.302
_cell_length_c 6.302
_cell_angle_alpha 85.67
_cell_angle_beta 85.67
_cell_angle_gamma 85.67
_space_group_name_H-M_alt 'P 1'
_space_group_IT_number 1
loop_
_space_group_symop_operation_xyz
'x,y,z'
loop_
_atom_site_label
_atom_site_type_symbol
_atom_site_fract_x
_atom_site_fract_y
_atom_site_fract_z
Ni1 Ni 0.619 0.619 0.105
Ni2 Ni 0.381 0.895 0.381
Ni3 Ni 0.681 0.183 0.183
Ni4 Ni 0.183 0.183 0.681
Ni5 Ni 0.319 0.817 0.817
Ni6 Ni 0.817 0.817 0.319
Ni7 Ni 0.105 0.619 0.619
Ni8 Ni 0.381 0.381 0.895
Ni9 Ni 0.183 0.681 0.183
Ni10 Ni 0.817 0.319 0.817
Ni11 Ni 0.895 0.381 0.381
Ni12 Ni 0.619 0.105 0.619
Dy1 Dy 0.342 0.342 0.342
Dy2 Dy 0.658 0.658 0.658
P1 P 0.000 0.500 0.000
P2 P 0.000 0.000 0.500
P3 P 0.500 0.000 0.000
Cd1 Cd 0.000 0.000 0.000

***

Entry 3:
# SmHoAl, optimized geometry, DFT PBE-GGA
# Volume = 171.18 Å³ per cell
# ΔE_f = -0.179 eV per atom
# Total moment = 0.265 μB/atom
data_SmHoAl
_chemical_formula_sum 'Sm2 Ho2 Al2'
_cell_length_a 4.608
_cell_length_b 4.608
_cell_length_c 8.061
_cell_angle_alpha 89.86
_cell_angle_beta 90.14
_cell_angle_gamma 90.00
_space_group_name_H-M_alt 'P 1'
_space_group_IT_number 1
loop_
_space_group_symop_operation_xyz
'x,y,z'
loop_
_atom_site_label
_atom_site_type_symbol
_atom_site_fract_x
_atom_site_fract_y
_atom_site_fract_z
Sm1 Sm 0.249 0.751 0.645
Sm2 Sm 0.751 0.249 0.355
Al1 Al 0.748 0.252 0.740
Al2 Al 0.252 0.748 0.260
Ho1 Ho 0.750 0.750 0.000
Ho2 Ho 0.250 0.250 0.000